Cs4Na5Hg6 | PBE | relaxed

## Properties
The calculation puts the formation energy at -0.16 eV/atom. The density of states at the Fermi level comes out at 7.7 states/eV/f.u. The volume is 43.9 A^3/atom. The crystal system is orthorhombic.

Geometry as CIF:
```
data_Cs4Na5Hg6
_symmetry_space_group_name_H-M 'P 1'
_symmetry_Int_Tables_number 1
_symmetry_space_group_name_Hall 'P 1'
_cell_length_a 5.3780
_cell_length_b 12.6764
_cell_length_c 19.7748
_cell_angle_alpha 90.00
_cell_angle_beta 90.00
_cell_angle_gamma 102.25
loop_
_atom_site_label
_atom_site_type_symbol
_atom_site_fract_x
_atom_site_fract_y
_atom_site_fract_z
Cs1 Cs 0.9765 0.9530 0.2657
Cs2 Cs 0.0235 0.0470 0.7657
Cs3 Cs 0.1675 0.3350 0.3095
Cs4 Cs 0.8325 0.6650 0.8095
Cs5 Cs 0.8193 0.6386 0.4430
Cs6 Cs 0.1807 0.3614 0.9430
Cs7 Cs 0.0073 0.0146 0.5076
Cs8 Cs 0.9927 0.9854 0.0076
Na1 Na 0.4363 0.8726 0.6544
Na2 Na 0.5637 0.1274 0.1544
Na3 Na 0.1476 0.2951 0.6285
Na4 Na 0.8524 0.7049 0.1285
Na5 Na 0.6469 0.2938 0.5020
Na6 Na 0.3531 0.7062 0.0020
Na7 Na 0.2942 0.5885 0.6215
Na8 Na 0.7058 0.4115 0.1215
Na9 Na 0.3403 0.6807 0.2515
Na10 Na 0.6597 0.3193 0.7515
Hg1 Hg 0.7730 0.5459 0.2594
Hg2 Hg 0.4304 0.8607 0.3913
Hg3 Hg 0.7843 0.5686 0.9915
Hg4 Hg 0.2157 0.4314 0.4915
Hg5 Hg 0.4428 0.8855 0.8703
Hg6 Hg 0.5572 0.1145 0.3703
Hg7 Hg 0.4326 0.8652 0.1335
Hg8 Hg 0.5674 0.1348 0.6335
Hg9 Hg 0.1282 0.2563 0.1259
Hg10 Hg 0.8718 0.7437 0.6259
Hg11 Hg 0.5696 0.1393 0.8913
Hg12 Hg 0.2270 0.4541 0.7594
```